Record 1
The following is a DFT calculation (SCAN) of a crystal of Nb2GeCF relaxed with PBEsol.

Geometry as POSCAR:
```
Nb2GeCF
1.0
-3.460 -0.474 1.174
1.098 -4.482 1.423
1.245 1.686 4.350
C Nb Ge F
1 2 1 1
direct
0.500 0.000 0.000
0.000 0.000 0.500
0.000 0.500 0.000
0.000 0.000 0.000
0.500 0.500 0.500
```

Output
Electronic total energy: -18.454 eV per atom
Uncorrected formation energy: 1.34 eV per atom



Record 2
The following is a DFT calculation (SCAN) of a crystal of HoH8C2O8F relaxed with PBEsol.

Geometry as POSCAR:
```
HoH8C2O8F
1.0
8.189 0.205 -0.227
3.768 7.266 0.359
-3.768 1.107 7.190
C F H Ho O
4 2 16 2 16
direct
0.960 0.492 0.065
0.540 0.065 0.492
0.040 0.508 0.935
0.460 0.935 0.508
0.000 0.000 0.000
0.500 0.000 0.000
0.513 0.384 0.834
0.987 0.834 0.384
0.487 0.616 0.166
0.013 0.166 0.616
0.123 0.869 0.308
0.377 0.308 0.869
0.877 0.131 0.692
0.623 0.692 0.131
0.492 0.669 0.718
0.008 0.718 0.669
0.508 0.331 0.282
0.992 0.282 0.331
0.461 0.646 0.888
0.039 0.888 0.646
0.539 0.354 0.112
0.961 0.112 0.354
0.750 0.940 0.940
0.250 0.060 0.060
0.841 0.646 0.092
0.659 0.092 0.646
0.159 0.354 0.908
0.341 0.908 0.354
0.520 0.865 0.675
0.980 0.675 0.865
0.480 0.135 0.325
0.020 0.325 0.135
0.975 0.898 0.272
0.525 0.272 0.898
0.025 0.102 0.728
0.475 0.728 0.102
0.497 0.576 0.796
0.003 0.796 0.576
0.503 0.424 0.204
0.997 0.204 0.424
```

Output
Electronic total energy: -9.071 eV per atom



Record 3
The following is a DFT calculation (SCAN) of a crystal of SiH10C2N4O2F6 relaxed with PBEsol.

Geometry as POSCAR:
```
SiH10C2N4O2F6
1.0
-4.659 -4.463 5.077
7.233 -1.782 5.070
-2.222 9.874 6.641
Si H C N O F
4 40 8 16 8 24
direct
0.000 0.500 0.500
0.500 0.000 0.500
0.500 0.500 0.000
0.000 0.000 0.000
0.411 0.255 0.670
0.089 0.755 0.330
0.911 0.745 0.830
0.589 0.245 0.170
0.589 0.745 0.330
0.911 0.245 0.670
0.089 0.255 0.170
0.411 0.755 0.830
0.248 0.381 0.654
0.252 0.881 0.346
0.748 0.619 0.846
0.752 0.119 0.154
0.752 0.619 0.346
0.748 0.119 0.654
0.252 0.381 0.154
0.248 0.881 0.846
0.318 0.625 0.594
0.182 0.125 0.406
0.818 0.375 0.906
0.682 0.875 0.094
0.682 0.375 0.406
0.818 0.875 0.594
0.182 0.625 0.094
0.318 0.125 0.906
0.522 0.684 0.599
0.978 0.184 0.401
0.022 0.316 0.901
0.478 0.816 0.099
0.478 0.316 0.401
0.022 0.816 0.599
0.978 0.684 0.099
0.522 0.184 0.901
0.711 0.498 0.621
0.789 0.998 0.379
0.211 0.502 0.879
0.289 0.002 0.121
0.289 0.502 0.379
0.211 0.002 0.621
0.789 0.498 0.121
0.711 0.998 0.879
0.479 0.467 0.646
0.021 0.967 0.354
0.979 0.533 0.854
0.521 0.033 0.146
0.521 0.533 0.354
0.979 0.033 0.646
0.021 0.467 0.146
0.479 0.967 0.854
0.370 0.363 0.668
0.130 0.863 0.332
0.870 0.637 0.832
0.630 0.137 0.168
0.630 0.637 0.332
0.870 0.137 0.668
0.130 0.363 0.168
0.370 0.863 0.832
0.437 0.602 0.614
0.063 0.102 0.386
0.937 0.398 0.886
0.563 0.898 0.114
0.563 0.398 0.386
0.937 0.898 0.614
0.063 0.602 0.114
0.437 0.102 0.886
0.632 0.428 0.660
0.868 0.928 0.340
0.132 0.572 0.840
0.368 0.072 0.160
0.368 0.572 0.340
0.132 0.072 0.660
0.868 0.428 0.160
0.632 0.928 0.840
0.030 0.410 0.622
0.470 0.910 0.378
0.530 0.590 0.878
0.970 0.090 0.122
0.970 0.590 0.378
0.530 0.090 0.622
0.470 0.410 0.122
0.030 0.910 0.878
0.884 0.356 0.454
0.616 0.856 0.546
0.384 0.644 0.046
0.116 0.144 0.954
0.116 0.644 0.546
0.384 0.144 0.454
0.616 0.356 0.954
0.884 0.856 0.046
0.829 0.584 0.552
0.671 0.084 0.448
0.329 0.416 0.948
0.171 0.916 0.052
0.171 0.416 0.448
0.329 0.916 0.552
0.671 0.584 0.052
0.829 0.084 0.948
```

Output
Electronic total energy: -6.785 eV per atom



Record 4
The following is a DFT calculation (SCAN) of a crystal of SnH4C2NO4F relaxed with PBEsol.

Geometry as POSCAR:
```
SnH4C2NO4F
1.0
-6.033 -1.533 -4.417
3.653 -7.024 2.491
-5.787 -0.184 7.967
Sn H C N O F
4 16 8 4 16 4
direct
0.020 0.370 0.183
0.480 0.630 0.683
0.980 0.630 0.817
0.520 0.370 0.317
0.729 0.988 0.235
0.771 0.012 0.735
0.025 0.819 0.272
0.552 0.976 0.345
0.821 0.161 0.860
0.271 0.012 0.765
0.679 0.839 0.360
0.475 0.181 0.772
0.179 0.839 0.140
0.975 0.181 0.728
0.525 0.819 0.228
0.948 0.024 0.845
0.229 0.988 0.265
0.052 0.976 0.155
0.321 0.161 0.640
0.448 0.024 0.655
0.618 0.692 0.984
0.925 0.716 0.517
0.882 0.308 0.484
0.425 0.716 0.983
0.382 0.308 0.016
0.075 0.284 0.483
0.575 0.284 0.017
0.118 0.692 0.516
0.380 0.095 0.705
0.120 0.905 0.205
0.620 0.905 0.295
0.880 0.095 0.795
0.193 0.679 0.407
0.154 0.296 0.367
0.640 0.254 0.908
0.346 0.704 0.867
0.693 0.679 0.093
0.846 0.704 0.633
0.140 0.254 0.592
0.815 0.313 0.364
0.307 0.321 0.907
0.860 0.746 0.408
0.360 0.746 0.092
0.185 0.687 0.636
0.654 0.296 0.133
0.685 0.687 0.864
0.315 0.313 0.136
0.807 0.321 0.593
0.415 0.107 0.360
0.085 0.893 0.860
0.915 0.107 0.140
0.585 0.893 0.640
```

Output
Electronic total energy: -9.378 eV per atom



Record 5
The following is a DFT calculation (SCAN) of a crystal of SnH24C6N2O2F6 relaxed with PBEsol.

Geometry as POSCAR:
```
SnH24C6N2O2F6
1.0
-5.917 -4.121 0.175
4.214 -0.035 -7.005
3.116 -4.223 5.922
Sn H C N O F
1 24 6 2 2 6
direct
0.000 0.000 0.000
0.692 0.384 0.291
0.308 0.616 0.709
0.652 0.082 0.235
0.430 0.082 0.235
0.348 0.918 0.765
0.570 0.918 0.765
0.063 0.543 0.305
0.480 0.543 0.305
0.937 0.457 0.695
0.520 0.457 0.695
0.065 0.776 0.336
0.711 0.776 0.336
0.935 0.224 0.664
0.289 0.224 0.664
0.011 0.702 0.522
0.691 0.702 0.522
0.989 0.298 0.478
0.309 0.298 0.478
0.798 0.347 0.000
0.549 0.347 0.000
0.202 0.653 0.000
0.451 0.653 0.000
0.788 0.577 0.034
0.212 0.423 0.966
0.991 0.644 0.366
0.653 0.644 0.366
0.009 0.356 0.634
0.347 0.356 0.634
0.722 0.444 0.063
0.278 0.556 0.937
0.761 0.522 0.274
0.239 0.478 0.726
0.585 0.171 0.294
0.415 0.829 0.706
0.168 0.943 0.147
0.776 0.943 0.147
0.832 0.057 0.853
0.224 0.057 0.853
0.851 0.703 0.801
0.149 0.297 0.199
```

Output
Electronic total energy: -6.449 eV per atom



Record 6
The following is a DFT calculation (SCAN) of a crystal of VH8C2N2O6F relaxed with PBEsol.

Geometry as POSCAR:
```
VH8C2N2O6F
1.0
7.149 0.000 -0.053
0.000 9.559 0.000
-1.066 0.000 11.366
V H C N O F
4 32 8 8 24 4
direct
0.189 0.532 0.744
0.311 0.032 0.256
0.811 0.468 0.256
0.689 0.968 0.744
0.225 0.976 0.832
0.275 0.476 0.168
0.775 0.024 0.168
0.725 0.524 0.832
0.260 0.802 0.871
0.240 0.302 0.129
0.740 0.198 0.129
0.760 0.698 0.871
0.269 0.929 0.976
0.231 0.429 0.024
0.731 0.071 0.024
0.769 0.571 0.976
0.060 0.889 0.897
0.440 0.389 0.103
0.940 0.111 0.103
0.560 0.611 0.897
0.280 0.886 0.613
0.220 0.386 0.387
0.720 0.114 0.387
0.780 0.614 0.613
0.179 0.734 0.572
0.321 0.234 0.428
0.821 0.266 0.428
0.679 0.766 0.572
0.039 0.878 0.581
0.461 0.378 0.419
0.961 0.122 0.419
0.539 0.622 0.581
0.186 0.862 0.471
0.314 0.362 0.529
0.814 0.138 0.529
0.686 0.638 0.471
0.412 0.775 0.153
0.088 0.275 0.847
0.588 0.225 0.847
0.912 0.725 0.153
0.324 0.732 0.265
0.176 0.232 0.735
0.676 0.268 0.735
0.824 0.768 0.265
0.205 0.900 0.894
0.295 0.400 0.106
0.795 0.100 0.106
0.705 0.600 0.894
0.168 0.842 0.559
0.332 0.342 0.441
0.832 0.158 0.441
0.668 0.658 0.559
0.319 0.630 0.839
0.181 0.130 0.161
0.681 0.370 0.161
0.819 0.870 0.839
0.494 0.885 0.704
0.006 0.385 0.296
0.506 0.115 0.296
0.994 0.615 0.704
0.403 0.910 0.135
0.097 0.410 0.865
0.597 0.090 0.865
0.903 0.590 0.135
0.276 0.841 0.324
0.224 0.341 0.676
0.724 0.159 0.676
0.776 0.659 0.324
0.983 0.810 0.090
0.517 0.310 0.910
0.017 0.190 0.910
0.483 0.690 0.090
0.303 0.609 0.292
0.197 0.109 0.708
0.697 0.391 0.708
0.803 0.891 0.292
0.313 0.574 0.610
0.187 0.074 0.390
0.687 0.426 0.390
0.813 0.926 0.610
```

Output
Electronic total energy: -7.427 eV per atom



Record 7
The following is a DFT calculation (SCAN) of a crystal of SiH14C4S2N8F6 relaxed with PBEsol.

Geometry as POSCAR:
```
SiH14C4S2N8F6
1.0
6.596 0.092 -0.028
3.054 6.766 -0.017
0.887 0.544 7.816
Si H C S N F
1 14 4 2 8 6
direct
0.500 0.500 0.000
0.874 0.364 0.225
0.126 0.636 0.775
0.222 0.570 0.350
0.778 0.430 0.650
0.651 0.045 0.620
0.349 0.955 0.380
0.226 0.021 0.946
0.774 0.979 0.054
0.306 0.489 0.561
0.694 0.511 0.439
0.435 0.847 0.174
0.565 0.153 0.826
0.991 0.251 0.970
0.009 0.749 0.030
0.163 0.114 0.186
0.837 0.886 0.814
0.006 0.735 0.538
0.994 0.265 0.462
0.187 0.112 0.594
0.813 0.888 0.406
0.666 0.039 0.751
0.334 0.961 0.249
0.196 0.590 0.479
0.804 0.410 0.521
0.012 0.259 0.286
0.988 0.741 0.714
0.129 0.137 0.020
0.871 0.863 0.980
0.250 0.555 0.119
0.750 0.445 0.881
0.586 0.256 0.068
0.414 0.744 0.932
0.614 0.540 0.172
0.386 0.460 0.828
```

Output
Electronic total energy: -7.005 eV per atom



Record 8
The following is a DFT calculation (SCAN) of a crystal of SiH12C4N10F6 relaxed with PBEsol.

Geometry as POSCAR:
```
SiH12C4N10F6
1.0
6.046 -0.004 0.028
-2.433 7.189 0.019
-2.121 -2.243 6.871
Si H C N F
1 12 4 10 6
direct
0.000 0.500 0.000
0.521 0.439 0.673
0.479 0.561 0.327
0.307 0.503 0.755
0.693 0.497 0.245
0.421 0.876 0.133
0.579 0.124 0.867
0.409 0.071 0.298
0.591 0.929 0.702
0.848 0.326 0.561
0.152 0.674 0.439
0.887 0.898 0.155
0.113 0.102 0.845
0.154 0.281 0.500
0.846 0.719 0.500
0.762 0.088 0.313
0.238 0.912 0.687
0.170 0.145 0.372
0.830 0.855 0.628
0.343 0.437 0.640
0.657 0.563 0.360
0.514 0.009 0.239
0.486 0.991 0.761
0.907 0.251 0.466
0.093 0.749 0.534
0.923 0.028 0.254
0.077 0.972 0.746
0.828 0.448 0.758
0.172 0.552 0.242
0.937 0.701 0.053
0.063 0.299 0.947
0.263 0.635 0.966
0.737 0.365 0.034
```

Output
Electronic total energy: -7.129 eV per atom